8
Lattice="-1.456 -3.395 1.788 7.010 -3.180 -0.331 -0.697 6.966 7.951" Properties=species:S:1:pos:R:3 comment="BaAc3Sn4 (GGA-PBE, optimized geometry)" spacegroup="No. 71" formation_enthalpy_0k_ev_per_atom=-0.5217 density_g_cm3=7.04 magnetic_moment_mub_per_cell=0.000 pbc="T T T"
Ba -0.728 -1.697 0.894
Sn 4.680 -2.944 2.930
Ac 0.864 1.529 3.606
Ac 3.994 -1.137 5.802
Sn 2.898 2.101 6.349
Ac 3.505 -1.590 -0.166
Sn 0.177 3.335 6.477
Sn 1.960 -1.709 3.059

***

4
Lattice="-3.990 4.174 -0.012 -3.550 -3.387 2.073 1.492 1.440 4.907" Properties=species:S:1:pos:R:3 comment="Ba2AcSn (GGA-PBE, optimized geometry)" spacegroup="No. 123" formation_enthalpy_0k_ev_per_atom=-0.2748 density_g_cm3=6.29 e_above_lowest_polymorph_ev_per_atom=0.000 magnetic_moment_mub_per_cell=0.001 pbc="T T T"
Ba -1.775 -1.694 1.037
Ba 0.746 0.720 2.453
Sn -1.995 2.087 -0.006
Ac -3.024 1.113 3.484

***

12
Lattice="7.718 0.000 0.000 0.000 7.568 0.000 -3.859 -3.784 9.117" Properties=species:S:1:pos:R:3 comment="Ba3AcSn2 (GGA-PBE, optimized geometry)" spacegroup="No. 72" formation_enthalpy_0k_ev_per_atom=-0.5123 density_g_cm3=5.47 magnetic_moment_mub_per_cell=1.761 pbc="T T T"
Ba 3.859 5.676 0.000
Sn 5.903 3.784 2.265
Ac 0.000 5.676 0.000
Ba 1.965 0.000 5.773
Ba 5.825 0.000 3.345
Ba 3.859 1.892 0.000
Sn 1.815 0.000 2.265
Sn 2.044 3.784 6.852
Ba -1.965 3.784 5.773
Ba 1.894 3.784 3.345
Ac 0.000 1.892 0.000
Sn -2.044 0.000 6.852

***

4
Lattice="-0.461 0.872 3.946 -3.708 -0.041 1.672 0.168 -13.046 5.000" Properties=species:S:1:pos:R:3 comment="Ba2AcSn (GGA-PBE, optimized geometry)" spacegroup="No. 166" formation_enthalpy_0k_ev_per_atom=0.2100 density_g_cm3=5.22 e_above_lowest_polymorph_ev_per_atom=0.485 magnetic_moment_mub_per_cell=0.000 pbc="T T T"
Ac -2.000 -6.108 5.309
Ba -3.775 -2.541 6.409
Ba -0.226 -9.674 4.208
Sn 0.000 0.000 0.000

***

11
Lattice="5.089 0.126 -1.441 -0.616 6.472 -3.085 -0.033 0.791 10.403" Properties=species:S:1:pos:R:3 comment="BaAc2Sn8 (GGA-PBE, optimized geometry)" spacegroup="No. 12" formation_enthalpy_0k_ev_per_atom=-0.4302 density_g_cm3=7.18 magnetic_moment_mub_per_cell=0.000 pbc="T T T"
Ac 1.392 2.585 5.144
Ba 2.544 0.063 -0.721
Ac 3.048 4.804 0.733
Sn 0.854 3.781 -2.131
Sn 0.049 6.209 -0.319
Sn 3.620 2.817 -2.395
Sn 3.956 4.993 4.397
Sn 3.389 1.630 2.398
Sn 4.391 1.180 6.196
Sn 1.052 5.759 3.479
Sn 0.484 2.396 1.479

***

17
Lattice="-9.303 3.763 -2.228 0.880 -9.480 -3.876 1.203 -0.345 10.203" Properties=species:S:1:pos:R:3 comment="BaAc12Sn4 (GGA-PBE, optimized geometry)" spacegroup="No. 204" formation_enthalpy_0k_ev_per_atom=0.0248 density_g_cm3=6.63 magnetic_moment_mub_per_cell=4.128 pbc="T T T"
Ac -2.475 -3.608 -0.968
Ac -6.531 -3.344 0.602
Ac -6.821 1.288 4.245
Ac -3.050 -6.230 2.464
Sn -4.651 1.881 -1.114
Ac -4.169 0.169 1.635
Sn -3.610 -3.031 2.049
Ac -0.007 -5.934 5.567
Ac -4.744 -2.453 5.066
Ac -1.987 -0.582 7.064
Ac -5.232 -5.480 -2.966
Sn 0.440 -4.740 -1.938
Ba 0.000 0.000 0.000
Ac -0.399 -7.349 -0.147
Sn 0.601 -0.172 5.101
Ac -7.212 -0.128 -1.469
Ac -0.689 -2.718 3.496

***

10
Lattice="5.451 0.000 0.000 2.725 7.044 -0.093 2.725 0.915 10.887" Properties=species:S:1:pos:R:3 comment="Ba2AcSn2 (GGA-PBE, optimized geometry)" spacegroup="No. 12" formation_enthalpy_0k_ev_per_atom=-0.5575 density_g_cm3=5.87 magnetic_moment_mub_per_cell=0.000 pbc="T T T"
Sn 2.725 5.926 0.932
Ac 5.451 7.250 6.933
Ba 2.725 1.986 0.980
Ba 8.176 5.973 9.814
Ac 5.451 0.709 3.861
Sn 8.176 2.032 9.862
Ba 5.451 4.817 3.404
Sn 2.725 2.590 4.611
Ba 5.451 3.142 7.390
Sn 8.176 5.369 6.183

***

4
Lattice="-1.184 3.540 0.874 -3.624 -1.040 -0.696 -1.019 -2.618 9.222" Properties=species:S:1:pos:R:3 comment="BaAcSn2 (GGA-PBE, optimized geometry)" spacegroup="No. 123" formation_enthalpy_0k_ev_per_atom=-0.5935 density_g_cm3=7.05 magnetic_moment_mub_per_cell=0.000 pbc="T T T"
Sn -0.245 -0.629 2.217
Ac -2.404 1.250 0.089
Ba -2.914 -0.059 4.700
Sn -0.774 -1.989 7.005

***

20
Lattice="-3.666 -5.077 -2.372 4.989 0.715 -9.239 6.609 -8.307 7.566" Properties=species:S:1:pos:R:3 comment="BaAc3Sn (GGA-PBE, optimized geometry)" spacegroup="No. 14" formation_enthalpy_0k_ev_per_atom=-0.1863 density_g_cm3=7.13 magnetic_moment_mub_per_cell=0.002 pbc="T T T"
Ac 4.193 -7.874 1.556
Ac 1.159 -9.795 2.865
Ac 5.456 -11.146 -2.845
Sn 0.830 -6.779 1.143
Ac 1.700 -9.158 -1.279
Ac 7.956 -9.853 -0.005
Ac 6.772 -2.874 -6.911
Ba 2.330 -5.323 -1.833
Ba 3.868 -11.922 0.808
Ba 5.601 -7.346 -2.212
Sn 7.101 -5.890 -5.188
Ac 3.739 -4.795 -5.602
Ba 4.063 -0.747 -4.853
Ac 9.251 -8.171 -3.662
Ac -1.319 -4.498 -0.384
Sn 3.321 -12.058 4.400
Sn 4.610 -0.611 -8.445
Ac 2.475 -1.523 -1.200
Ac -0.025 -2.816 -4.040
Ac 6.232 -3.512 -2.766

***

20
Lattice="4.903 0.000 0.000 0.000 4.903 0.000 0.000 0.000 24.959" Properties=species:S:1:pos:R:3 comment="BaAc4Sn15 (GGA-PBE, optimized geometry)" spacegroup="No. 123" formation_enthalpy_0k_ev_per_atom=-0.4750 density_g_cm3=7.82 magnetic_moment_mub_per_cell=0.000 pbc="T T T"
Sn 0.000 2.452 17.450
Sn 2.452 0.000 7.508
Ac 0.000 0.000 19.920
Sn 2.452 2.452 9.992
Sn 0.000 2.452 22.428
Sn 2.452 0.000 17.450
Sn 0.000 2.452 7.508
Ac 0.000 0.000 5.039
Sn 2.452 2.452 4.992
Ac 0.000 0.000 14.963
Sn 0.000 2.452 2.531
Sn 2.452 2.452 14.967
Sn 0.000 2.452 12.479
Sn 2.452 2.452 0.000
Sn 2.452 0.000 12.479
Sn 2.452 0.000 22.428
Sn 2.452 2.452 19.967
Ba 0.000 0.000 0.000
Ac 0.000 0.000 9.996
Sn 2.452 0.000 2.531

***

12
Lattice="6.299 0.000 0.000 3.149 9.857 0.110 3.149 0.526 7.639" Properties=species:S:1:pos:R:3 comment="BaAc7Sn4 (GGA-PBE, optimized geometry)" spacegroup="No. 12" formation_enthalpy_0k_ev_per_atom=-0.2210 density_g_cm3=7.71 magnetic_moment_mub_per_cell=0.000 pbc="T T T"
Sn 3.149 3.263 0.484
Sn 6.299 2.627 4.891
Ba 0.000 0.000 0.000
Ac 9.448 8.992 4.251
Ac 6.299 6.379 5.834
Sn 9.448 7.119 7.266
Ac 3.149 6.241 2.040
Ac 3.149 1.390 3.499
Ac 6.299 4.003 1.916
Ac 9.448 4.142 5.710
Sn 6.299 7.755 2.859
Ac 3.149 0.000 0.000

***

11
Lattice="-2.946 -4.159 7.213 8.037 3.662 -0.047 -3.486 7.754 -2.394" Properties=species:S:1:pos:R:3 comment="BaAc6Sn4 (GGA-PBE, optimized geometry)" spacegroup="No. 121" formation_enthalpy_0k_ev_per_atom=-0.3926 density_g_cm3=6.75 magnetic_moment_mub_per_cell=0.002 pbc="T T T"
Sn 4.336 3.728 -0.479
Ac -1.240 -0.881 4.554
Sn -0.656 5.501 -1.495
Ac 1.291 4.237 1.051
Ba 0.000 0.000 0.000
Ac 1.270 8.292 -2.001
Ac 4.837 7.025 -1.275
Ac -3.216 1.797 2.409
Ac 2.545 -0.249 3.583
Sn 0.056 1.971 3.163
Sn 2.421 7.472 1.141